{"formula": "Te2MoAs", "functional": "PBE", "state": "relaxed", "total_magnetization_mub_per_cell": 0.000, "spacegroup": "P4mm (99)", "raw_formation_energy_ev_per_fu": 0.232, "lattice_angstrom": [[-2.337, -0.218, -2.161], [-1.738, -1.716, 2.053], [-3.946, 8.122, 3.447]], "species": ["Mo", "Te", "Te", "As"], "fractional_positions": [[0.500, 0.500, 0.733], [0.000, 0.000, 0.910], [0.500, 0.500, 0.273], [0.000, 0.000, 0.584]]}



{"formula": "Cd2CoRu", "functional": "PBE", "state": "relaxed", "e_above_lowest_polymorph_ev_per_atom": 0.000, "total_magnetization_mub_per_cell": 1.373, "formation_energy_ev_per_atom": 0.20, "spacegroup": "P4mm (99)", "lattice_angstrom": [[2.892, 0.000, 0.000], [0.000, 2.892, 0.000], [0.000, 0.000, 7.875]], "species": ["Cd", "Cd", "Co", "Ru"], "fractional_positions": [[0.000, 0.000, 0.972], [0.500, 0.500, 0.290], [0.000, 0.000, 0.531], [0.500, 0.500, 0.708]]}



{"formula": "AgH5Pd6", "functional": "PBE", "state": "relaxed", "total_energy_ev_per_cell": -50.62, "total_magnetization_mub_per_cell": 0.000, "spacegroup": "P-1 (2)", "lattice_angstrom": [[-3.330, 0.815, 4.184], [0.024, -6.541, -1.512], [3.743, 2.344, 2.194]], "species": ["Ag", "H", "H", "H", "H", "H", "Pd", "Pd", "Pd", "Pd", "Pd", "Pd"], "fractional_positions": [[0.000, 0.000, 0.000], [0.423, 0.805, 0.180], [0.029, 0.646, 0.296], [0.500, 0.500, 0.500], [0.971, 0.354, 0.704], [0.577, 0.195, 0.820], [0.754, 0.009, 0.499], [0.240, 0.466, 0.061], [0.391, 0.730, 0.765], [0.609, 0.270, 0.235], [0.760, 0.534, 0.939], [0.246, 0.991, 0.501]]}